Below is a relaxed structure of SrHIrO6, with properties calculated at the PBE level.

- space group = No. 149
- total DFT energy (no corrections) (eV for the cell shown) = -49.3
- DOS(E_F) (states/eV per atom) = 0.759

Lattice parameters (Å, degrees): 4.9027 4.9027 5.5594 90.00 90.00 120.00
Element x y z (fractional)
Sr: 0.0000 0.0000 0.0000
H: 0.3333 0.6667 0.5000
Ir: 0.6667 0.3333 0.5000
O: 0.3730 0.0034 0.6909
O: 0.3730 0.3696 0.3091
O: 0.6304 0.0034 0.3091
O: 0.6304 0.6270 0.6909
O: 0.9966 0.3696 0.6909
O: 0.9966 0.6270 0.3091

Below is a relaxed structure of La7NdSm12, with properties calculated at the PBE level.

- energy of formation from the pure elements (eV per atom) = 0.56
- space group = No. 229
- total DFT energy (no corrections) (eV for the cell shown) = -84.7
- offset from the most stable computed form (meV per atom) = 354
- DOS(E_F) (states/eV per atom) = 1.752

Lattice parameters (Å, degrees): 10.0081 10.0081 10.0081 109.47 109.47 109.47
Element x y z (fractional)
La: 0.0000 0.0000 0.5000
La: 0.0000 0.5000 0.0000
La: 0.0000 0.5000 0.5000
La: 0.5000 0.0000 0.0000
La: 0.5000 0.0000 0.5000
La: 0.5000 0.5000 0.0000
La: 0.5000 0.5000 0.5000
Nd: 0.0000 0.0000 0.0000
Sm: 0.0000 0.2487 0.7513
Sm: 0.0000 0.7513 0.2487
Sm: 0.2487 0.0000 0.7513
Sm: 0.2487 0.2487 0.4975
Sm: 0.2487 0.4975 0.2487
Sm: 0.2487 0.7513 0.0000
Sm: 0.4975 0.2487 0.2487
Sm: 0.5025 0.7513 0.7513
Sm: 0.7513 0.0000 0.2487
Sm: 0.7513 0.2487 0.0000
Sm: 0.7513 0.5025 0.7513
Sm: 0.7513 0.7513 0.5025

Q: The highest total DFT energy (no corrections) belongs to which entry?
A: SrHIrO6

Q: Among the records above, which one has the highest total DFT energy (no corrections)?
A: SrHIrO6